No. 1
{"formula": "K2UB2S6", "functional": "PBE", "state": "relaxed", "total_magnetization_mub_per_cell": 2.0, "final_energy_ev_per_atom": -5.600, "lattice": [[6.695, 0.000, 0.000], [-3.347, 5.755, -0.267], [0.000, -3.604, 7.349]], "species": ["K", "K", "U", "B", "B", "S", "S", "S", "S", "S", "S"], "frac_coords": [[0.705, 0.409, 0.188], [0.295, 0.591, 0.812], [0.500, 0.000, 0.500], [0.936, 0.872, 0.715], [0.064, 0.128, 0.285], [0.759, 0.519, 0.634], [0.203, 0.941, 0.232], [0.263, 0.059, 0.768], [0.797, 0.059, 0.768], [0.737, 0.941, 0.232], [0.241, 0.481, 0.366]]}


No. 2
{"formula": "K2UBS5", "functional": "PBE", "state": "relaxed", "total_magnetization_mub_per_cell": 2.0, "final_energy_ev_per_atom": -5.525, "lattice": [[-1.599, -2.439, -2.682], [2.320, -5.772, 6.792], [-12.340, 1.786, 5.734]], "species": ["K", "K", "K", "K", "U", "U", "B", "B", "S", "S", "S", "S", "S", "S", "S", "S", "S", "S"], "frac_coords": [[0.883, 0.766, 0.844], [0.118, 0.236, 0.677], [0.117, 0.234, 0.344], [0.882, 0.764, 0.177], [0.812, 0.624, 0.536], [0.188, 0.376, 0.036], [0.578, 0.156, 0.901], [0.422, 0.844, 0.401], [0.323, 0.647, 0.013], [0.681, 0.362, 0.896], [0.516, 0.033, 0.801], [0.313, 0.625, 0.662], [0.950, 0.901, 0.495], [0.677, 0.353, 0.513], [0.319, 0.638, 0.396], [0.484, 0.967, 0.301], [0.687, 0.375, 0.162], [0.050, 0.099, 0.995]]}


No. 3
{"formula": "KV2BS", "functional": "PBE", "state": "relaxed", "total_magnetization_mub_per_cell": 4.0, "final_energy_ev_per_atom": -5.360, "lattice": [[4.225, 0.000, 0.000], [0.000, 5.329, 0.000], [0.000, 0.000, 4.225]], "species": ["K", "B", "S", "V", "V"], "frac_coords": [[0.000, 0.500, 0.000], [0.000, 0.000, 0.000], [0.500, 0.500, 0.500], [0.000, 0.000, 0.500], [0.500, 0.000, 0.000]]}


No. 4
{"formula": "KY2B2S6", "functional": "PBE", "state": "relaxed", "total_magnetization_mub_per_cell": 0.0, "final_energy_ev_per_atom": -5.862, "lattice": [[6.861, -0.512, 0.190], [2.941, 6.556, 0.672], [0.429, -3.205, 5.358]], "species": ["K", "Y", "Y", "B", "B", "S", "S", "S", "S", "S", "S"], "frac_coords": [[0.500, 0.000, 0.500], [0.817, 0.370, 0.807], [0.183, 0.630, 0.193], [0.239, 0.709, 0.772], [0.761, 0.291, 0.228], [0.446, 0.736, 0.928], [0.841, 0.517, 0.266], [0.114, 0.905, 0.658], [0.159, 0.483, 0.734], [0.886, 0.095, 0.342], [0.554, 0.264, 0.072]]}